1 | Entry from Alexandria: a relaxed Y2TmCu crystal (PBE).

Properties
For the density of states at the Fermi level, the calculation gives 4.91 states/eV per cell.

Cell lengths 3.4523, 3.4523, 11.3390 Å; angles 81.24, 81.24, 60.00 degrees
With the nearest neighbours (Å) after each atom.
Atoms (fractional coordinates):
Y1 0.0828 0.0828 0.7516  1 Cu 2.77
Y2 0.9172 0.9172 0.2484  1 Cu 2.77
Tm1 0.5000 0.5000 0.5000  6 Y 3.44, 6 Tm 3.45
Cu1 0.0000 0.0000 0.0000  2 Y 2.77



2 | Entry from Alexandria: a relaxed Y2TmCu crystal (PBE).

Properties
For the density of states at the Fermi level, the calculation gives 10.37 states/eV per cell.

Cell lengths 4.9528, 6.3130, 7.4609 Å; angles 90.00, 90.00, 113.05 degrees
With the nearest neighbours (Å) after each atom.
Atoms (fractional coordinates):
Y1 0.3524 0.7045 0.5290  3 Cu 2.76-3.03
Y2 0.6476 0.2955 0.4710  3 Cu 2.76-3.03
Y3 0.3524 0.7045 0.9710  3 Cu 2.76-3.03
Y4 0.6476 0.2955 0.0290  3 Cu 2.76-3.03
Tm1 0.9574 0.9148 0.2500  1 Cu 2.77
Tm2 0.0426 0.0852 0.7500  1 Cu 2.77
Cu1 0.8050 0.6084 0.7500  6 Y 2.76-3.03, 1 Tm 2.77
Cu2 0.1950 0.3916 0.2500  6 Y 2.76-3.03, 1 Tm 2.77



Which is the most stable structure? 2 is the most stable.



1 | Entry from Alexandria: a relaxed YTmCu crystal (PBE).

Properties
For the density of states at the Fermi level, the calculation gives 8.14 states/eV per cell.

Cell lengths 3.4537, 6.9142, 6.6339 Å; angles 105.22, 105.11, 90.01 degrees
With the nearest neighbours (Å) after each atom.
Atoms (fractional coordinates):
Y1 0.3007 0.4830 0.3679  4 Cu 3.04-3.07
Y2 0.5772 0.6209 0.9209  4 Cu 3.04-3.07
Tm1 0.5775 0.1210 0.9214  4 Cu 2.90-2.92
Tm2 0.3004 0.9829 0.3674  4 Cu 2.90-2.92
Cu1 0.9405 0.2846 0.6471  4 Tm 2.90-2.92, 4 Y 3.04-3.07, 1 Cu 3.21
Cu2 0.9373 0.8194 0.6417  4 Tm 2.90-2.92, 4 Y 3.04-3.07, 1 Cu 3.21



2 | Entry from Alexandria: a relaxed YTmCu crystal (PBE).

Properties
For the density of states at the Fermi level, the calculation gives 6.65 states/eV per cell.

Cell lengths 6.5336, 6.5336, 8.0484 Å; angles 55.09, 55.09, 32.56 degrees
With the nearest neighbours (Å) after each atom.
Atoms (fractional coordinates):
Y1 0.3448 0.3448 0.5632  3 Cu 2.90-2.96
Y2 0.6552 0.6552 0.4368  3 Cu 2.90-2.96
Tm1 0.0988 0.0988 0.1102  4 Cu 2.81-3.07
Tm2 0.9012 0.9012 0.8898  4 Cu 2.81-3.07
Cu1 0.3814 0.3814 0.1718  1 Cu 2.59, 2 Tm 2.81
Cu2 0.6186 0.6186 0.8282  1 Cu 2.59, 2 Tm 2.81



3 | Entry from Alexandria: a relaxed YTmCu crystal (PBE).

Properties
For the density of states at the Fermi level, the calculation gives 12.40 states/eV per cell.

Cell lengths 4.8543, 8.6100, 6.9476 Å; angles 90.00, 90.00, 90.00 degrees
With the nearest neighbours (Å) after each atom.
Atoms (fractional coordinates):
Y1 0.2500 0.8261 0.4825  3 Cu 2.86-3.11
Y2 0.7500 0.3261 0.0175  3 Cu 2.86-3.11
Y3 0.2500 0.6739 0.9825  3 Cu 2.86-3.11
Y4 0.7500 0.1739 0.5175  3 Cu 2.86-3.11
Tm1 0.7500 0.9177 0.1424  4 Cu 2.75-2.99
Tm2 0.7500 0.5823 0.6424  4 Cu 2.75-2.99
Tm3 0.2500 0.0823 0.8576  4 Cu 2.75-2.99
Tm4 0.2500 0.4177 0.3576  4 Cu 2.75-2.99
Cu1 0.7500 0.6012 0.2479  4 Tm 2.75-2.99, 1 Y 2.86
Cu2 0.7500 0.8988 0.7479  4 Tm 2.75-2.99, 1 Y 2.86
Cu3 0.2500 0.1012 0.2521  4 Tm 2.75-2.99, 1 Y 2.86
Cu4 0.2500 0.3988 0.7521  4 Tm 2.75-2.99, 1 Y 2.86



Which is the most stable structure? 3 is the most stable.



1 | Entry from Alexandria: a relaxed YTm2Cu crystal (PBE).

Properties
For the density of states at the Fermi level, the calculation gives 4.66 states/eV per cell.

Cell lengths 3.6271, 3.6271, 9.7875 Å; angles 79.32, 79.32, 60.00 degrees
With the nearest neighbours (Å) after each atom.
Atoms (fractional coordinates):
Y1 0.5010 0.5010 0.4971  6 Tm 3.53-3.58, 6 Y 3.63
Tm1 0.0664 0.0664 0.8008  3 Cu 2.84
Tm2 0.2667 0.2667 0.1999  3 Cu 2.82
Cu1 0.6659 0.6659 0.0022  6 Tm 2.82-2.84



2 | Entry from Alexandria: a relaxed YTm2Cu crystal (PBE).

Properties
For the density of states at the Fermi level, the calculation gives 5.14 states/eV per cell.

Cell lengths 3.4467, 3.4467, 8.6680 Å; angles 90.00, 90.00, 90.00 degrees
With the nearest neighbours (Å) after each atom.
Atoms (fractional coordinates):
Y1 0.5000 0.5000 0.5000  4 Y 3.45, 8 Tm 3.59
Tm1 0.0000 0.0000 0.8045  4 Cu 2.97
Tm2 0.0000 0.0000 0.1955  4 Cu 2.97
Cu1 0.5000 0.5000 0.0000  8 Tm 2.97



Which is the most stable structure? 2 is the most stable.



1 | Entry from Alexandria: a relaxed YTm2Cu crystal (PBE).

Properties
For the density of states at the Fermi level, the calculation gives 10.07 states/eV per cell.

Cell lengths 4.8061, 6.1640, 7.6676 Å; angles 90.00, 90.00, 112.87 degrees
With the nearest neighbours (Å) after each atom.
Atoms (fractional coordinates):
Y1 0.9535 0.9067 0.2500  1 Cu 2.90
Y2 0.0465 0.0933 0.7500  1 Cu 2.90
Tm1 0.3506 0.7011 0.5375  3 Cu 2.73-2.98
Tm2 0.6494 0.2989 0.4625  3 Cu 2.73-2.98
Tm3 0.3506 0.7011 0.9625  3 Cu 2.73-2.98
Tm4 0.6494 0.2989 0.0375  3 Cu 2.73-2.98
Cu1 0.7920 0.5829 0.7500  6 Tm 2.73-2.98, 1 Y 2.90
Cu2 0.2080 0.4171 0.2500  6 Tm 2.73-2.98, 1 Y 2.90



2 | Entry from Alexandria: a relaxed YTm2Cu crystal (PBE).

Properties
For the density of states at the Fermi level, the calculation gives 19.37 states/eV per cell.

Cell lengths 6.4128, 6.7901, 9.6242 Å; angles 90.00, 90.00, 90.00 degrees
With the nearest neighbours (Å) after each atom.
Atoms (fractional coordinates):
Y1 0.6302 0.5159 0.2500  2 Cu 2.84-2.90
Y2 0.8698 0.0159 0.2500  2 Cu 2.84-2.90
Y3 0.3698 0.4841 0.7500  2 Cu 2.84-2.90
Y4 0.1302 0.9841 0.7500  2 Cu 2.84-2.90
Tm1 0.1856 0.6886 0.0597  2 Cu 2.78-2.87
Tm2 0.3144 0.1886 0.4403  2 Cu 2.78-2.87
Tm3 0.8144 0.3114 0.5597  2 Cu 2.78-2.87
Tm4 0.6856 0.8114 0.9403  2 Cu 2.78-2.87
Tm5 0.8144 0.3114 0.9403  2 Cu 2.78-2.87
Tm6 0.6856 0.8114 0.5597  2 Cu 2.78-2.87
Tm7 0.1856 0.6886 0.4403  2 Cu 2.78-2.87
Tm8 0.3144 0.1886 0.0597  2 Cu 2.78-2.87
Cu1 0.0573 0.4045 0.2500  4 Tm 2.78-2.87, 2 Y 2.84-2.90
Cu2 0.4427 0.9045 0.2500  4 Tm 2.78-2.87, 2 Y 2.84-2.90
Cu3 0.9427 0.5955 0.7500  4 Tm 2.78-2.87, 2 Y 2.84-2.90
Cu4 0.5573 0.0955 0.7500  4 Tm 2.78-2.87, 2 Y 2.84-2.90



3 | Entry from Alexandria: a relaxed YTm2Cu crystal (PBE).

Properties
For the density of states at the Fermi level, the calculation gives 5.17 states/eV per cell.

Cell lengths 3.5724, 3.5724, 9.9639 Å; angles 79.67, 79.67, 60.00 degrees
With the nearest neighbours (Å) after each atom.
Atoms (fractional coordinates):
Y1 0.5000 0.5000 0.5000  6 Tm 3.57, 6 Y 3.57
Tm1 0.2661 0.2661 0.2016  3 Cu 2.85
Tm2 0.7339 0.7339 0.7984  3 Cu 2.85
Cu1 0.0000 0.0000 0.0000  6 Tm 2.85



Which is the most stable structure? 2 is the most stable.



1 | Entry from Alexandria: a relaxed TmZnCu3 crystal (PBE).

Properties
For the density of states at the Fermi level, the calculation gives 2.46 states/eV per cell.

Cell lengths 3.7711, 3.7711, 6.2750 Å; angles 107.49, 107.49, 90.00 degrees
With the nearest neighbours (Å) after each atom.
Atoms (fractional coordinates):
Tm1 0.0063 0.0063 0.0126  4 Cu 2.87, 4 Zn 3.00
Zn1 0.6282 0.6282 0.2563  5 Cu 2.45-2.49
Cu1 0.2716 0.7716 0.5433  6 Cu 2.47-2.67, 2 Zn 2.49
Cu2 0.7716 0.2716 0.5433  6 Cu 2.47-2.67, 2 Zn 2.49
Cu3 0.4125 0.4125 0.8250  1 Zn 2.45, 4 Cu 2.47



2 | Entry from Alexandria: a relaxed TmZnCu3 crystal (PBE).

Properties
For the density of states at the Fermi level, the calculation gives 5.40 states/eV per cell.

Cell lengths 4.9934, 9.1640, 6.2787 Å; angles 136.87, 113.43, 90.00 degrees
With the nearest neighbours (Å) after each atom.
Atoms (fractional coordinates):
Tm1 0.2500 0.2434 0.5000  7 Cu 2.78-3.01, 4 Zn 3.05
Tm2 0.7500 0.7566 0.5000  7 Cu 2.78-3.01, 4 Zn 3.05
Zn1 0.0000 0.5000 0.0000  6 Cu 2.47-2.64
Zn2 0.5000 0.0000 0.0000  6 Cu 2.47-2.64
Cu1 0.8099 0.3099 0.1199  5 Cu 2.50-2.65, 2 Zn 2.64
Cu2 0.3099 0.3099 0.1199  5 Cu 2.50-2.65, 2 Zn 2.64
Cu3 0.6901 0.6901 0.8801  5 Cu 2.50-2.65, 2 Zn 2.64
Cu4 0.1901 0.6901 0.8801  5 Cu 2.50-2.65, 2 Zn 2.64
Cu5 0.2500 0.9403 0.5000  2 Zn 2.47, 6 Cu 2.56-2.73
Cu6 0.7500 0.0597 0.5000  2 Zn 2.47, 6 Cu 2.56-2.73



Which is the most stable structure? 1 is the most stable.



1 | Entry from Alexandria: a relaxed Tm8ZnCu2 crystal (PBE).

Properties
For the density of states at the Fermi level, the calculation gives 9.19 states/eV per cell.

Cell lengths 5.0012, 6.7110, 8.9602 Å; angles 106.83, 106.21, 90.00 degrees
With the nearest neighbours (Å) after each atom.
Atoms (fractional coordinates):
Tm1 0.4059 0.5367 0.8119  1 Zn 3.04, 2 Cu 3.15, 5 Tm 3.33-3.40
Tm2 0.6727 0.9823 0.3453  1 Cu 2.69, 1 Zn 3.01
Tm3 0.8025 0.6771 0.6050  1 Cu 2.72
Tm4 0.9671 0.2173 0.9341  1 Cu 2.75, 2 Zn 3.03
Tm5 0.1975 0.3229 0.3950  1 Cu 2.72
Tm6 0.3273 0.0177 0.6547  1 Cu 2.69, 1 Zn 3.01
Tm7 0.5941 0.4633 0.1881  1 Zn 3.04, 2 Cu 3.15, 5 Tm 3.33-3.40
Tm8 0.0329 0.7827 0.0659  1 Cu 2.75, 2 Zn 3.03
Zn1 0.5000 0.0000 0.0000  8 Tm 3.01-3.04
Cu1 0.8172 0.2844 0.6343  3 Tm 2.69-2.75
Cu2 0.1828 0.7156 0.3657  3 Tm 2.69-2.75



2 | Entry from Alexandria: a relaxed Tm8ZnCu2 crystal (PBE).

Properties
For the density of states at the Fermi level, the calculation gives 15.75 states/eV per cell.

Cell lengths 5.3040, 7.8872, 7.8872 Å; angles 115.30, 99.24, 99.24 degrees
With the nearest neighbours (Å) after each atom.
Atoms (fractional coordinates):
Zn1 0.0073 0.0031 0.0031  4 Tm 3.05-3.09
Tm1 0.5971 0.3374 0.0885  2 Cu 2.81-2.95
Tm2 0.5971 0.0885 0.3374  2 Cu 2.81-2.95
Tm3 0.1921 0.3875 0.3875  2 Cu 3.06, 1 Zn 3.09, 4 Tm 3.23-3.38
Tm4 0.9994 0.2317 0.7739  2 Cu 2.84, 1 Zn 3.05
Tm5 0.9994 0.7739 0.2317  2 Cu 2.84, 1 Zn 3.05
Tm6 0.8068 0.6194 0.6194  2 Cu 3.06, 1 Zn 3.09, 4 Tm 3.23-3.38
Tm7 0.4007 0.9174 0.6686  2 Cu 2.81-2.95
Tm8 0.4007 0.6686 0.9174  2 Cu 2.81-2.95
Cu1 0.4996 0.6977 0.3088  8 Tm 2.81-3.06
Cu2 0.4996 0.3088 0.6977  8 Tm 2.81-3.06



Which is the most stable structure? 1 is the most stable.



1 | Entry from Alexandria: a relaxed Tm3Zn4Cu2 crystal (PBE).

Properties
For the density of states at the Fermi level, the calculation gives 6.55 states/eV per cell.

Cell lengths 4.3232, 5.5935, 8.1522 Å; angles 72.34, 74.62, 67.27 degrees
With the nearest neighbours (Å) after each atom.
Atoms (fractional coordinates):
Tm1 0.3237 0.6985 0.6540  4 Cu 3.00-3.17, 8 Zn 3.04-3.24
Tm2 0.0000 0.0000 0.0000  4 Cu 2.98, 8 Zn 2.99-3.10
Tm3 0.6763 0.3015 0.3460  4 Cu 3.00-3.17, 8 Zn 3.04-3.24
Zn1 0.2769 0.3859 0.0603  1 Cu 2.53, 2 Zn 2.54
Zn2 0.7231 0.6141 0.9397  1 Cu 2.53, 2 Zn 2.54
Zn3 0.0390 0.2963 0.6258  2 Cu 2.51, 1 Zn 2.54
Zn4 0.9610 0.7037 0.3742  2 Cu 2.51, 1 Zn 2.54
Cu1 0.4002 0.9318 0.2678  3 Zn 2.51-2.53
Cu2 0.5998 0.0682 0.7322  3 Zn 2.51-2.53



2 | Entry from Alexandria: a relaxed Tm3Zn4Cu2 crystal (PBE).

Properties
For the density of states at the Fermi level, the calculation gives 5.59 states/eV per cell.

Cell lengths 4.6208, 5.0521, 8.2418 Å; angles 98.18, 90.00, 117.21 degrees
With the nearest neighbours (Å) after each atom.
Atoms (fractional coordinates):
Tm1 0.6188 0.2376 0.7134  6 Zn 2.93-3.18, 4 Cu 2.95
Tm2 0.0000 0.0000 0.0000  8 Zn 2.91-3.10
Tm3 0.3812 0.7624 0.2866  6 Zn 2.93-3.18, 4 Cu 2.95
Zn1 0.6950 0.3900 0.0814  1 Cu 2.48
Zn2 0.3050 0.6100 0.9186  1 Cu 2.48
Zn3 0.9232 0.8463 0.6192  3 Cu 2.49-2.60, 1 Zn 2.58
Zn4 0.0768 0.1537 0.3808  3 Cu 2.49-2.60, 1 Zn 2.58
Cu1 0.7111 0.4223 0.3850  4 Zn 2.48-2.60
Cu2 0.2889 0.5777 0.6150  4 Zn 2.48-2.60



Which is the most stable structure? 1 is the most stable.



1 | Entry from Alexandria: a relaxed Tm4ZnCu crystal (PBE).

Properties
For the density of states at the Fermi level, the calculation gives 8.01 states/eV per cell.

Cell lengths 3.4627, 3.4627, 12.1717 Å; angles 90.00, 90.00, 90.00 degrees
With the nearest neighbours (Å) after each atom.
Atoms (fractional coordinates):
Tm1 0.5000 0.5000 0.8555  4 Zn 3.01-3.02
Tm2 0.5000 0.5000 0.1445  4 Zn 3.01-3.02
Tm3 0.0000 0.0000 0.6385  4 Cu 2.97
Tm4 0.0000 0.0000 0.3615  4 Cu 2.97
Zn1 0.0000 0.0000 0.0000  8 Tm 3.01-3.02
Cu1 0.5000 0.5000 0.5000  8 Tm 2.97



2 | Entry from Alexandria: a relaxed Tm4ZnCu crystal (PBE).

Properties
For the density of states at the Fermi level, the calculation gives 5.90 states/eV per cell.

Cell lengths 4.8089, 4.8087, 6.8534 Å; angles 89.99, 89.99, 90.00 degrees
With the nearest neighbours (Å) after each atom.
Atoms (fractional coordinates):
Tm1 0.5012 0.9970 0.2534  2 Cu 2.93, 2 Zn 2.97
Tm2 0.5014 0.9974 0.7427  2 Cu 2.93, 2 Zn 2.97
Tm3 0.0014 0.4975 0.7427  2 Cu 2.93, 2 Zn 2.97
Tm4 0.0012 0.4971 0.2535  2 Cu 2.93-2.94, 2 Zn 2.97
Zn1 0.5014 0.4970 0.9980  8 Tm 2.97
Cu1 0.0011 0.9977 0.4984  8 Tm 2.93-2.94



Which is the most stable structure? 1 is the most stable.